First-principles (PBE) data for a relaxed structure of KMgW2C, as listed in the Alexandria database.

Output
- Space group: P4/mmm, No. 123
- E_form: 3.909 eV per atom

a b c (Å): 4.6611 4.6611 4.5585
angles (deg): 90.00 90.00 90.00
Closest atoms and distances in Å follow each position.
Fractional coordinates of all 5 atoms:
1 K 0.0000 0.0000 0.0000  2 C 2.28, 4 W 2.33
2 Mg 0.5000 0.5000 0.5000  8 W 3.26, 4 C 3.30
3 W 0.0000 0.5000 0.0000  2 K 2.33
4 W 0.5000 0.0000 0.0000  2 K 2.33
5 C 0.0000 0.0000 0.5000  2 K 2.28


First-principles (PBE) data for a relaxed structure of Tl2GeSe, as listed in the Alexandria database.

Output
- Formation energy without anion corrections: 0.020 eV per atom
- Excess energy over the best structure of this formula in the dataset: 0.000 eV per atom
- Space group: I-42d, No. 122

a b c (Å): 7.9699 7.9699 7.9699
angles (deg): 132.64 132.64 69.21
Closest atoms and distances in Å follow each position.
Fractional coordinates of all 8 atoms:
1 Tl 0.1027 0.6250 0.9777  2 Ge 2.72, 2 Se 2.88
2 Tl 0.3750 0.3527 0.4777  2 Ge 2.72, 2 Se 2.88
3 Tl 0.6473 0.1250 0.0223  2 Ge 2.72, 2 Se 2.88
4 Tl 0.8750 0.8973 0.5223  2 Ge 2.72, 2 Se 2.88
5 Ge 0.0000 0.0000 0.0000  4 Tl 2.72
6 Ge 0.7500 0.2500 0.5000  4 Tl 2.72
7 Se 0.2500 0.7500 0.5000  4 Tl 2.88
8 Se 0.5000 0.5000 0.0000  4 Tl 2.88


Listing magnetization for the structures above in their given order: 0.63, 0.00 Bohr magnetons per cell.